(1)
Computed, not measured: an optimized crystal structure of Li4CaGd at the PBE level of DFT.

The structure in extended XYZ format:
```
6
Lattice="-1.8746 3.4141 -4.6132 -0.7548 -2.4575 -5.4629 -5.5593 -0.7366 -2.2369" Properties=species:S:1:pos:R:3 pbc="T T T"
Ca -2.0472 0.0550 -3.0782
Gd 0.0000 0.0000 0.0000
Li -2.3335 0.5069 -6.5783
Li -4.7423 1.3697 -4.9610
Li -5.1207 0.1376 -7.6998
Li -4.1809 -1.5740 -5.3870
```

The value obtained for the calculated density is 2.4 Mg/m³. The value obtained for the energy of formation from the pure elements is 0.47 eV/f.u. As for the size of the total moment: 8.30 μB/f.u.


(2)
Computed, not measured: an optimized crystal structure of Ti2SnHRu at the PBE level of DFT.

The structure in extended XYZ format:
```
5
Lattice="-3.0555 2.8460 -0.3218 -2.8242 -2.9156 1.0304 0.4525 0.9206 3.8454" Properties=species:S:1:pos:R:3 pbc="T T T"
Ru 0.2263 0.4603 1.9227
Sn -2.7136 0.4255 2.2770
H 0.0000 0.0000 0.0000
Ti -1.4121 -1.4578 0.5152
Ti -1.5277 1.4230 -0.1609
```

The value obtained for the calculated density is 7.5 Mg/m³. The calculation puts the total DFT energy (no corrections) at -6.879 eV per atom. As for the size of the total moment: 0.00 μB/f.u.


(3)
Computed, not measured: an optimized crystal structure of K2CoI4 at the PBE level of DFT.

The structure in extended XYZ format:
```
7
Lattice="-2.3671 4.5272 1.9424 -3.5924 -0.1116 -4.1175 -2.6178 -7.2889 6.1089" Properties=species:S:1:pos:R:3 pbc="T T T"
I -6.7822 -1.2439 2.3235
I -1.7950 -1.6295 1.6103
I -1.7962 -0.0558 -2.0588
I -1.1835 2.2636 0.9712
K -4.5758 0.7590 0.3443
K -4.0014 -3.6323 3.5896
Co 0.0000 0.0000 0.0000
```

The value obtained for the formation energy without anion corrections is -17.0 kcal/mol of atoms. The relative energy among the computed polymorphs comes out at 119 meV/atom. The value obtained for the calculated density is 3.9 Mg/m³. As for the size of the total moment: 2.48 μB/f.u.


(4)
Computed, not measured: an optimized crystal structure of LiPm3Co8 at the PBE level of DFT.

The structure in extended XYZ format:
```
12
Lattice="-1.8126 4.6668 -0.7774 -3.4135 0.8157 -3.6540 -7.8622 0.3478 3.9098" Properties=species:S:1:pos:R:3 pbc="T T T"
Li -7.5683 4.9162 -2.3698
Pm -8.8188 2.3652 1.7413
Pm -5.3568 5.4509 -4.3163
Pm -6.4503 2.9378 -0.3434
Co -4.6959 4.7816 -1.5707
Co -9.3555 3.0671 -1.1130
Co -3.7951 2.4623 -1.1844
Co -10.2547 5.3822 -1.4986
Co -4.3919 1.1868 0.8552
Co -10.9695 4.0939 0.6240
Co -5.4915 2.8676 -3.0003
Co -8.5614 4.9776 0.3141
```

The value obtained for the calculated density is 8.2 Mg/m³. The value obtained for the energy of formation from the pure elements is -0.41 eV/f.u. As for the size of the total moment: 8.96 μB/f.u.


(5)
Computed, not measured: an optimized crystal structure of KBaGa at the PBE level of DFT.

The structure in extended XYZ format:
```
6
Lattice="4.4973 0.0000 0.0000 0.0000 4.8310 0.0000 0.0000 2.4155 13.6469" Properties=species:S:1:pos:R:3 pbc="T T T"
Ga 3.3730 2.4155 0.6423
Ga 1.1243 4.8310 13.0046
K 3.3730 2.4155 5.1611
K 1.1243 4.8310 8.4858
Ba 3.3730 2.4155 11.7503
Ba 1.1243 4.8310 1.8967
```

The relative energy among the computed polymorphs comes out at 26 meV/atom. The value obtained for the calculated density is 2.8 Mg/m³. The value obtained for the energy of formation from the pure elements is -0.67 eV/f.u. As for the size of the total moment: 0.00 μB/f.u.


(6)
Computed, not measured: an optimized crystal structure of PmGa3Br6 at the PBE level of DFT.

The structure in extended XYZ format:
```
20
Lattice="7.4939 0.0000 -0.3319 0.0000 8.4322 0.0000 0.0087 0.0000 11.0715" Properties=species:S:1:pos:R:3 pbc="T T T"
Pm 3.7513 4.2161 5.3698
Pm 0.0000 0.0000 0.0000
Ga 3.6357 0.7903 8.6602
Ga 3.7470 4.2161 -0.1659
Ga 3.8669 7.6419 2.0795
Ga 7.3783 3.4258 2.9585
Ga 0.0044 0.0000 5.5358
Ga 0.1243 5.0063 7.7812
Br 2.4476 6.9971 10.4837
Br 2.4582 6.5810 6.4167
Br 2.6558 4.7975 2.7605
Br 4.8468 3.6346 7.9792
Br 5.0444 1.8512 4.3230
Br 5.0551 1.4350 0.2560
Br 6.1901 5.6511 4.7819
Br 6.2008 6.0673 0.7150
Br 6.4072 7.8507 8.1303
Br 1.0955 0.5814 2.6094
Br 1.3019 2.3649 10.0247
Br 1.3125 2.7811 5.9577
```

The value obtained for the formation energy without anion corrections is -24.6 kcal/mol of atoms. The value obtained for the calculated density is 4.0 Mg/m³. As for the size of the total moment: 0.00 μB/f.u.